First-principles (PBE) data for a relaxed La5NdSm3 crystal, as listed in Alexandria via LeMat-Bulk.

Cell and atoms, written as CIF:
```
data_La5NdSm3
_symmetry_space_group_name_H-M 'I 4/m c m'
_symmetry_Int_Tables_number 140
_symmetry_space_group_name_Hall '-I 4 2c'
_cell_length_a 8.944
_cell_length_b 8.944
_cell_length_c 16.150
_cell_angle_alpha 90.00
_cell_angle_beta 90.00
_cell_angle_gamma 90.00
loop_
_atom_site_label
_atom_site_type_symbol
_atom_site_fract_x
_atom_site_fract_y
_atom_site_fract_z
La1 La 0.000 0.000 0.000
La2 La 0.199 0.301 0.139
Nd1 Nd 0.000 0.500 0.250
Sm1 Sm 0.000 0.000 0.250
Sm2 Sm 0.119 0.381 0.500
```

## Properties
The total energy is -4.59 eV/atom. The density of states at the Fermi level is 67.15 states/eV/cell. The total magnetization comes out at 0.00 μB per formula unit. The calculated formation energy comes out at 2.21 eV/f.u.